[1]
# Rb7HgBr2O2 | Alexandria via LeMat-Bulk | PBE | relaxed
data_Rb7HgBr2O2
_symmetry_space_group_name_H-M 'P 1'
_symmetry_Int_Tables_number 1
_symmetry_space_group_name_Hall 'P 1'
_cell_length_a 14.362
_cell_length_b 14.362
_cell_length_c 14.362
_cell_angle_alpha 160.34
_cell_angle_beta 36.11
_cell_angle_gamma 150.02
loop_
_atom_site_label
_atom_site_type_symbol
_atom_site_fract_x
_atom_site_fract_y
_atom_site_fract_z
_atom_site_occupancy
Rb1 Rb 0.000 0.000 0.000 1
Rb2 Rb 0.122 0.914 0.207 1
Rb3 Rb 0.225 0.611 0.615 1
Rb4 Rb 0.506 0.601 0.905 1
Rb5 Rb 0.695 0.601 0.095 1
Rb6 Rb 0.707 0.914 0.793 1
Rb7 Rb 0.996 0.611 0.385 1
Hg1 Hg 0.426 0.926 0.500 1
Br1 Br 0.195 0.401 0.794 1
Br2 Br 0.608 0.401 0.206 1
O1 O 0.047 0.942 0.105 1
O2 O 0.836 0.942 0.895 1
# E_form (uncorrected)   -1009 meV per atom
# DOS(E_F)   0.3184 states/eV/atom
# Mass density   3.308 g/cm³

=====

[2]
# Rb2HgBr6O | Alexandria via LeMat-Bulk | PBE | relaxed
data_Rb2HgBr6O
_symmetry_space_group_name_H-M 'P 1'
_symmetry_Int_Tables_number 1
_symmetry_space_group_name_Hall 'P 1'
_cell_length_a 7.792
_cell_length_b 7.792
_cell_length_c 7.792
_cell_angle_alpha 122.20
_cell_angle_beta 122.20
_cell_angle_gamma 86.24
loop_
_atom_site_label
_atom_site_type_symbol
_atom_site_fract_x
_atom_site_fract_y
_atom_site_fract_z
_atom_site_occupancy
Rb1 Rb 0.250 0.750 0.500 1
Rb2 Rb 0.750 0.250 0.500 1
Hg1 Hg 0.000 0.000 0.000 1
Br1 Br 0.222 0.222 0.000 1
Br2 Br 0.283 0.283 0.567 1
Br3 Br 0.283 0.717 0.000 1
Br4 Br 0.717 0.283 0.000 1
Br5 Br 0.717 0.717 0.433 1
Br6 Br 0.778 0.778 0.000 1
O1 O 0.500 0.500 0.000 1
# E_form (uncorrected)   -630 meV per atom
# DOS(E_F)   0.0000 states/eV/atom
# Mass density   4.462 g/cm³

=====

[3]
# ReHgBrO4 | Alexandria via LeMat-Bulk | PBE | relaxed
data_ReHgBrO4
_symmetry_space_group_name_H-M 'P 1'
_symmetry_Int_Tables_number 1
_symmetry_space_group_name_Hall 'P 1'
_cell_length_a 7.020
_cell_length_b 7.020
_cell_length_c 8.324
_cell_angle_alpha 114.85
_cell_angle_beta 114.85
_cell_angle_gamma 69.37
loop_
_atom_site_label
_atom_site_type_symbol
_atom_site_fract_x
_atom_site_fract_y
_atom_site_fract_z
_atom_site_occupancy
Re1 Re 0.118 0.118 0.309 1
Re2 Re 0.882 0.882 0.691 1
Hg1 Hg 0.303 0.303 0.836 1
Hg2 Hg 0.697 0.697 0.164 1
Br1 Br 0.437 0.437 0.182 1
Br2 Br 0.563 0.563 0.818 1
O1 O 0.010 0.365 0.268 1
O2 O 0.056 0.056 0.840 1
O3 O 0.154 0.154 0.545 1
O4 O 0.365 0.010 0.268 1
O5 O 0.635 0.990 0.732 1
O6 O 0.846 0.846 0.455 1
O7 O 0.944 0.944 0.160 1
O8 O 0.990 0.635 0.732 1
# E_form (uncorrected)   -1159 meV per atom
# DOS(E_F)   0.0000 states/eV/atom
# Mass density   5.341 g/cm³

=====

[4]
# HgSBrO2 | Alexandria via LeMat-Bulk | PBE | relaxed
data_HgSBrO2
_symmetry_space_group_name_H-M 'P 1'
_symmetry_Int_Tables_number 1
_symmetry_space_group_name_Hall 'P 1'
_cell_length_a 3.891
_cell_length_b 3.891
_cell_length_c 5.673
_cell_angle_alpha 90.00
_cell_angle_beta 90.00
_cell_angle_gamma 90.00
loop_
_atom_site_label
_atom_site_type_symbol
_atom_site_fract_x
_atom_site_fract_y
_atom_site_fract_z
_atom_site_occupancy
Hg1 Hg 0.000 0.000 0.000 1
S1 S 0.500 0.500 0.000 1
Br1 Br 0.500 0.500 0.500 1
O1 O 0.000 0.500 0.500 1
O2 O 0.500 0.000 0.500 1
# E_form (uncorrected)   537 meV per atom
# DOS(E_F)   0.4456 states/eV/atom
# Mass density   6.661 g/cm³

=====

[5]
# Hg2SBrO | Alexandria via LeMat-Bulk | PBE | relaxed
data_Hg2SBrO
_symmetry_space_group_name_H-M 'P 1'
_symmetry_Int_Tables_number 1
_symmetry_space_group_name_Hall 'P 1'
_cell_length_a 6.965
_cell_length_b 6.965
_cell_length_c 3.310
_cell_angle_alpha 90.00
_cell_angle_beta 90.00
_cell_angle_gamma 90.00
loop_
_atom_site_label
_atom_site_type_symbol
_atom_site_fract_x
_atom_site_fract_y
_atom_site_fract_z
_atom_site_occupancy
Hg1 Hg 0.000 0.500 0.000 1
Hg2 Hg 0.500 0.000 0.000 1
S1 S 0.000 0.000 0.500 1
Br1 Br 0.500 0.500 0.500 1
O1 O 0.000 0.000 0.000 1
# E_form (uncorrected)   171 meV per atom
# DOS(E_F)   0.8797 states/eV/atom
# Mass density   5.472 g/cm³

=====

[6]
# HgSe2BrO | Alexandria via LeMat-Bulk | PBE | relaxed
data_HgSe2BrO
_symmetry_space_group_name_H-M 'P 1'
_symmetry_Int_Tables_number 1
_symmetry_space_group_name_Hall 'P 1'
_cell_length_a 4.555
_cell_length_b 4.555
_cell_length_c 4.938
_cell_angle_alpha 90.00
_cell_angle_beta 90.00
_cell_angle_gamma 90.00
loop_
_atom_site_label
_atom_site_type_symbol
_atom_site_fract_x
_atom_site_fract_y
_atom_site_fract_z
_atom_site_occupancy
Hg1 Hg 0.000 0.000 0.000 1
Se1 Se 0.000 0.500 0.500 1
Se2 Se 0.500 0.000 0.500 1
Br1 Br 0.500 0.500 0.000 1
O1 O 0.500 0.500 0.500 1
# E_form (uncorrected)   503 meV per atom
# Offset from the most stable computed form   0 meV per atom
# DOS(E_F)   1.1325 states/eV/atom
# Mass density   7.365 g/cm³

=====

[7]
# HgSeBrO4 | Alexandria via LeMat-Bulk | PBE | relaxed
data_HgSeBrO4
_symmetry_space_group_name_H-M 'P 1'
_symmetry_Int_Tables_number 1
_symmetry_space_group_name_Hall 'P 1'
_cell_length_a 7.517
_cell_length_b 7.517
_cell_length_c 6.283
_cell_angle_alpha 104.55
_cell_angle_beta 104.55
_cell_angle_gamma 52.10
loop_
_atom_site_label
_atom_site_type_symbol
_atom_site_fract_x
_atom_site_fract_y
_atom_site_fract_z
_atom_site_occupancy
Hg1 Hg 0.188 0.188 0.300 1
Hg2 Hg 0.812 0.812 0.700 1
Se1 Se 0.141 0.141 0.748 1
Se2 Se 0.859 0.859 0.252 1
Br1 Br 0.463 0.463 0.811 1
Br2 Br 0.537 0.537 0.189 1
O1 O 0.026 0.026 0.788 1
O2 O 0.032 0.636 0.404 1
O3 O 0.233 0.233 0.999 1
O4 O 0.364 0.968 0.596 1
O5 O 0.636 0.032 0.404 1
O6 O 0.767 0.767 0.001 1
O7 O 0.968 0.364 0.596 1
O8 O 0.974 0.974 0.212 1
# E_form (uncorrected)   -366 meV per atom
# Mass density   5.229 g/cm³

=====

[8]
# HgSe2BrO | Alexandria via LeMat-Bulk | PBE | relaxed
data_HgSe2BrO
_symmetry_space_group_name_H-M 'P 1'
_symmetry_Int_Tables_number 1
_symmetry_space_group_name_Hall 'P 1'
_cell_length_a 5.369
_cell_length_b 5.369
_cell_length_c 5.440
_cell_angle_alpha 90.00
_cell_angle_beta 90.00
_cell_angle_gamma 90.00
loop_
_atom_site_label
_atom_site_type_symbol
_atom_site_fract_x
_atom_site_fract_y
_atom_site_fract_z
_atom_site_occupancy
Hg1 Hg 0.000 0.000 0.000 1
Se1 Se 0.000 0.500 0.000 1
Se2 Se 0.500 0.000 0.000 1
Br1 Br 0.000 0.000 0.500 1
O1 O 0.500 0.500 0.500 1
# E_form (uncorrected)   1246 meV per atom
# Offset from the most stable computed form   743 meV per atom
# DOS(E_F)   3.3280 states/eV/atom
# Mass density   4.811 g/cm³

=====

[9]
# HgSeBr2O | Alexandria via LeMat-Bulk | PBE | relaxed
data_HgSeBr2O
_symmetry_space_group_name_H-M 'P 1'
_symmetry_Int_Tables_number 1
_symmetry_space_group_name_Hall 'P 1'
_cell_length_a 4.968
_cell_length_b 4.968
_cell_length_c 4.384
_cell_angle_alpha 90.00
_cell_angle_beta 90.00
_cell_angle_gamma 90.00
loop_
_atom_site_label
_atom_site_type_symbol
_atom_site_fract_x
_atom_site_fract_y
_atom_site_fract_z
_atom_site_occupancy
Hg1 Hg 0.000 0.000 0.000 1
Se1 Se 0.500 0.500 0.000 1
Br1 Br 0.000 0.500 0.500 1
Br2 Br 0.500 0.000 0.500 1
O1 O 0.500 0.500 0.500 1
# E_form (uncorrected)   461 meV per atom
# Offset from the most stable computed form   0 meV per atom
# DOS(E_F)   0.4863 states/eV/atom
# Mass density   6.987 g/cm³

=====

[10]
# HgSeBr2O | Alexandria via LeMat-Bulk | PBE | relaxed
data_HgSeBr2O
_symmetry_space_group_name_H-M 'P 1'
_symmetry_Int_Tables_number 1
_symmetry_space_group_name_Hall 'P 1'
_cell_length_a 5.580
_cell_length_b 5.580
_cell_length_c 5.366
_cell_angle_alpha 90.00
_cell_angle_beta 90.00
_cell_angle_gamma 90.00
loop_
_atom_site_label
_atom_site_type_symbol
_atom_site_fract_x
_atom_site_fract_y
_atom_site_fract_z
_atom_site_occupancy
Hg1 Hg 0.000 0.000 0.000 1
Se1 Se 0.000 0.000 0.500 1
Br1 Br 0.000 0.500 0.000 1
Br2 Br 0.500 0.000 0.000 1
O1 O 0.500 0.500 0.500 1
# E_form (uncorrected)   856 meV per atom
# Offset from the most stable computed form   395 meV per atom
# DOS(E_F)   2.0806 states/eV/atom
# Mass density   4.525 g/cm³

=====

[11]
# SrHg2BrO2 | Alexandria via LeMat-Bulk | PBE | relaxed
data_SrHg2BrO2
_symmetry_space_group_name_H-M 'P 1'
_symmetry_Int_Tables_number 1
_symmetry_space_group_name_Hall 'P 1'
_cell_length_a 7.110
_cell_length_b 6.337
_cell_length_c 7.784
_cell_angle_alpha 90.00
_cell_angle_beta 107.83
_cell_angle_gamma 90.00
loop_
_atom_site_label
_atom_site_type_symbol
_atom_site_fract_x
_atom_site_fract_y
_atom_site_fract_z
_atom_site_occupancy
Sr1 Sr 0.185 0.250 0.028 1
Sr2 Sr 0.815 0.750 0.972 1
Hg1 Hg 0.101 0.750 0.673 1
Hg2 Hg 0.209 0.750 0.369 1
Hg3 Hg 0.791 0.250 0.631 1
Hg4 Hg 0.899 0.250 0.327 1
Br1 Br 0.488 0.750 0.185 1
Br2 Br 0.512 0.250 0.815 1
O1 O 0.022 0.005 0.187 1
O2 O 0.022 0.495 0.187 1
O3 O 0.978 0.505 0.813 1
O4 O 0.978 0.995 0.813 1
# E_form (uncorrected)   -975 meV per atom
# DOS(E_F)   0.5653 states/eV/atom
# Mass density   5.975 g/cm³

=====

[12]
# SrHgBr2O | Alexandria via LeMat-Bulk | PBE | relaxed
data_SrHgBr2O
_symmetry_space_group_name_H-M 'P 1'
_symmetry_Int_Tables_number 1
_symmetry_space_group_name_Hall 'P 1'
_cell_length_a 6.918
_cell_length_b 6.918
_cell_length_c 9.222
_cell_angle_alpha 90.00
_cell_angle_beta 90.00
_cell_angle_gamma 144.57
loop_
_atom_site_label
_atom_site_type_symbol
_atom_site_fract_x
_atom_site_fract_y
_atom_site_fract_z
_atom_site_occupancy
Sr1 Sr 0.165 0.835 0.750 1
Sr2 Sr 0.835 0.165 0.250 1
Hg1 Hg 0.500 0.500 0.000 1
Hg2 Hg 0.500 0.500 0.500 1
Br1 Br 0.146 0.854 0.072 1
Br2 Br 0.146 0.854 0.428 1
Br3 Br 0.854 0.146 0.572 1
Br4 Br 0.854 0.146 0.928 1
O1 O 0.429 0.571 0.250 1
O2 O 0.571 0.429 0.750 1
# E_form (uncorrected)   -1257 meV per atom
# Mass density   6.023 g/cm³